VASP calculation (PBE with a Hubbard U) on an optimized crystal structure of BaVTcF2. Values from VASP.

Geometry as Quantum ESPRESSO input:
```
&SYSTEM
  ibrav = 0, nat = 5, ntyp = 4
/
ATOMIC_SPECIES
Tc 98.00 Tc.upf
F 19.00 F.upf
Ba 137.33 Ba.upf
V 50.94 V.upf
CELL_PARAMETERS angstrom
-1.421 0.163 -4.039
4.050 -2.031 -1.507
-1.770 -3.874 0.466
ATOMIC_POSITIONS crystal
Tc 0.000 0.500 0.000
F 0.000 0.000 0.500
F 0.500 0.000 0.000
Ba 0.500 0.500 0.500
V 0.000 0.000 0.000
```

Computed properties:
The space-group type is P4/mmm (123). The final energy is -26.30 eV/cell. The calculation puts the volume at 17.5 A^3/atom. Its total moment is 0.37 μB per cell.